P | Cs2Si2Au | PBE | relaxed

Properties
D(E_F): 0.6525 states/eV per atom
Total magnetic moment: 0.0000 μB/atom

The structure in POSCAR format:
```
Cs2Si2Au
1.0
-3.137 4.048 5.240
-4.000 -5.779 2.069
-1.009 -1.824 5.927
Cs Au Si
2 1 2
Direct
0.750 0.250 0.500
0.250 0.750 0.500
0.000 0.000 0.000
0.655 0.655 0.691
0.345 0.345 0.309
```

Q | Cs2Si2Au | PBE | relaxed

Properties
D(E_F): 0.4298 states/eV per atom
Total magnetic moment: 0.0000 μB/atom

The structure in POSCAR format:
```
Cs2Si2Au
1.0
-9.903 -3.335 5.544
-9.709 1.774 6.521
8.438 1.246 -8.196
Si Cs Au
2 2 1
Direct
0.750 0.250 0.500
0.250 0.750 0.500
0.394 0.394 0.000
0.606 0.606 0.000
0.000 0.000 0.000
```

Looking at the structures above, which would you pick as the most stable? I would pick P.